{
  "formula": "CrTc2W",
  "functional": "SCAN",
  "state": "single point on PBEsol structure",
  "cell": [[3.044, 0.000, 0.000], [0.000, 4.240, 0.619], [0.000, -0.619, 4.239]],
  "species": ["Tc", "Tc", "Cr", "W"],
  "frac_coords": [[0.000, 0.500, 0.000], [0.000, 0.000, 0.500], [0.500, 0.500, 0.500], [0.500, 0.000, 0.000]],
  "space_group": "P4/mmm (123)",
  "n_ef_per_ev_fu": 3.19,
  "formation_enthalpy_0k_ev_per_fu": -0.10,
  "magmom_total_mub_per_cell": 1.9,
  "crystal_system": "tetragonal"
}